No. 1
VASP calculation (PBE) on a relaxed AgN crystal.

* calculated density: 5.43 g/cm3
* ΔE to the lowest computed polymorph: 3.07 eV per formula unit
* calculated volume: 18.6 Å³ per atom
* formation energy (no corrections): 1.80 eV per atom
* magnetization: 0.0 μB/f.u.

Unit cell a=6.6813 b=6.6813 c=6.6813 alpha=90.00 beta=90.00 gamma=90.00
Closest atoms and distances in Å follow each position.
Space group I-43m (No. 217)
Symmetry-distinct sites (fractional):
Ag 0.1774 0.1774 0.8226 (multiplicity 8)  4 N 2.00-2.20
N 0.1496 0.1496 0.1496 (multiplicity 8)  4 Ag 2.00-2.20

No. 2
VASP calculation (PBE) on a relaxed Mn2C3 crystal.

* calculated density: 6.15 g/cm3
* ΔE to the lowest computed polymorph: 0.00 eV per formula unit
* formation energy from the elements: 0.412 eV/atom
* calculated volume: 7.9 Å³ per atom
* magnetization: 3.4 μB/f.u.

Unit cell a=2.6581 b=2.6581 c=6.4349 alpha=90.00 beta=90.00 gamma=120.00
Closest atoms and distances in Å follow each position.
Space group P-3m1 (No. 164)
Symmetry-distinct sites (fractional):
Mn 0.3333 0.6667 0.3145 (multiplicity 2)  4 C 1.94-2.15
C 0.0000 0.0000 0.5000 (multiplicity 1)  6 Mn 1.94
C 0.3333 0.6667 0.9808 (multiplicity 2)  3 C 1.55

No. 3
VASP calculation (PBE) on a relaxed GaAgF5 crystal.

* calculated density: 4.47 g/cm3
* calculated volume: 14.5 Å³ per atom
* formation energy (no corrections): -1.94 eV per atom
* magnetization: 1.0 μB/f.u.

Unit cell a=3.8554 b=6.5787 c=7.9870 alpha=90.00 beta=90.00 gamma=90.00
Closest atoms and distances in Å follow each position.
Space group Immm (No. 71)
Symmetry-distinct sites (fractional):
Ga 0.0000 0.0000 0.0000 (multiplicity 2)  6 F 1.90-1.93
Ag 0.0000 0.0000 0.5000 (multiplicity 2)  2 F 2.09
F 0.0000 0.0000 0.2382 (multiplicity 4)  1 Ga 1.90, 1 Ag 2.09
F 0.0000 0.2909 0.0000 (multiplicity 4)  1 Ga 1.91
F 0.0000 0.5000 0.5000 (multiplicity 2)  2 Ga 1.93

No. 4
VASP calculation (PBE) on a relaxed PmTlCo2Cl8 crystal.

* calculated density: 3.57 g/cm3
* calculated volume: 29.1 Å³ per atom
* formation energy (no corrections): -1.17 eV per atom
* magnetization: 6.0 μB/f.u.

Unit cell a=6.4885 b=6.4885 c=28.7562 alpha=90.00 beta=90.00 gamma=120.00
Closest atoms and distances in Å follow each position.
Space group R-3 (No. 148, hexagonal axes)
Symmetry-distinct sites (fractional):
Pm 0.0000 0.0000 0.0000 (multiplicity 3)  6 Cl 2.74
Tl 0.0000 0.0000 0.5000 (multiplicity 3)  12 Cl 3.75-3.82
Co 0.0000 0.0000 0.2504 (multiplicity 6)  4 Cl 2.18-2.28
Cl 0.0000 0.0000 0.1744 (multiplicity 6)  1 Co 2.18
Cl 0.0024 0.6603 0.0564 (multiplicity 18)  1 Co 2.28